Compound: LiCu2AgCl6
Source: the Alexandria database
Functional: PBE-GGA
Structure: optimized geometry

Uncorrected energy: -62.2 eV/cell
Crystal system: monoclinic
Space group: C2/c, No. 15
ΔE_f (raw): -0.71 eV per atom

Unit cell a=6.527 b=8.370 c=8.370 alpha=86.02 beta=81.65 gamma=81.65
Last column: magnetic moment on the atom in μB.
Sites, in units of the cell vectors:
Cl: 0.392 0.865 0.379  0.12
Cl: 0.869 0.027 0.211  0.11
Cu: 0.692 0.599 0.778  0.41
Cl: 0.369 0.211 0.027  0.11
Cu: 0.192 0.778 0.599  0.41
Cl: 0.882 0.708 0.556  0.10
Li: 0.750 0.726 0.274  0.00
Cl: 0.382 0.556 0.708  0.10
Ag: 0.750 0.096 0.904  0.19
Cl: 0.608 0.135 0.621  0.12
Cl: 0.892 0.379 0.865  0.12
Li: 0.250 0.274 0.726  0.00
Cu: 0.808 0.222 0.401  0.41
Cu: 0.308 0.401 0.222  0.41
Ag: 0.250 0.904 0.096  0.19
Cl: 0.131 0.973 0.789  0.11
Cl: 0.108 0.621 0.135  0.12
Cl: 0.631 0.789 0.973  0.11
Cl: 0.618 0.444 0.292  0.10
Cl: 0.118 0.292 0.444  0.10